Material: Lu3Mg
Method: DFT, GGA-PBEsol
State: optimized geometry

Cell and atoms, written as POSCAR:
```
Lu3Mg
1.0
5.378 0.000 0.000
0.000 6.754 0.000
0.000 -3.377 5.849
Mg Lu
2 6
Direct
0.250 0.333 0.667
0.750 0.667 0.333
0.250 0.336 0.168
0.250 0.832 0.664
0.250 0.832 0.168
0.750 0.168 0.832
0.750 0.168 0.336
0.750 0.664 0.832
```

Summary:
- Formation energy: 0.02 eV per atom
- Symmetry: P6_3/mmc (194)
- DFT total energy: -4.0617 eV per atom